*a*
Density functional theory data (GGA-PBE) for a relaxed structure of Sn2GeI.

Computed properties:
SG: Fm-3m (225)
Mass density, kg/m3: 6563
Total magnetization, μB per formula unit: 0.0
Volume, A^3/atom: 27.6

Lattice parameters (Å, degrees): 5.387 5.387 5.387 60.00 60.00 60.00
Atoms (fractional coordinates):
1 Sn 0.250 0.250 0.250
2 Sn 0.750 0.750 0.750
3 I 0.500 0.500 0.500
4 Ge 0.000 0.000 0.000

*b*
Density functional theory data (GGA-PBE) for a relaxed structure of Sn2GeI.

Computed properties:
SG: I-42d (122)
Mass density, kg/m3: 5307
Total magnetization, μB per formula unit: 0.0
Volume, A^3/atom: 34.2

Lattice parameters (Å, degrees): 7.890 7.890 7.101 56.25 56.25 90.00
Atoms (fractional coordinates):
1 Sn 0.375 0.431 0.750
2 Sn 0.569 0.125 0.250
3 Sn 0.875 0.819 0.750
4 Sn 0.181 0.625 0.250
5 I 0.750 0.250 0.500
6 I 0.000 0.000 0.000
7 Ge 0.250 0.750 0.500
8 Ge 0.500 0.500 0.000

If you had to name the least stable structure above, which would it be? It would be *a*.